No. 1
Computed, not measured: a relaxed Re2NiOs crystal at the GGA-PBE level of DFT.

The calculation puts the total energy at -10.188 eV per atom. The calculation puts the density of states at the Fermi level at 4.747 states/eV/f.u. The value obtained for the total magnetization is 0.000 μB per atom. As for the formation energy: 0.289 eV per atom.

The space group is Imm2 (No. 44) and the conventional cell measures 2.7883, 4.4278 and 9.0507 Å, with angles of 90.00, 90.00 and 90.00 degrees. Symmetry generates all atoms from Re at (0.0000, 0.0000, 0.0000), Re at (0.0000, 0.5000, 0.2226), Ni at (0.0000, 0.5000, 0.7278) and Os at (0.0000, 0.0000, 0.4566).

***

No. 2
Computed, not measured: a relaxed RbTi2CdB crystal at the GGA-PBE level of DFT.

The calculation puts the total energy at -4.133 eV per atom. The calculation puts the density of states at the Fermi level at 3.788 states/eV/f.u. The value obtained for the total magnetization is 0.287 μB per atom. As for the formation energy: 0.737 eV per atom.

The space group is P4/mmm (No. 123) and the conventional cell measures 4.4536, 4.4536 and 5.9675 Å, with angles of 90.00, 90.00 and 90.00 degrees. Symmetry generates all atoms from Rb at (0.0000, 0.0000, 0.0000), Ti at (0.0000, 0.5000, 0.5000), Cd at (0.5000, 0.5000, 0.0000) and B at (0.0000, 0.0000, 0.5000).

***

No. 3
Computed, not measured: a relaxed Nd3RhI2 crystal at the GGA-PBE level of DFT.

Its formation energy without anion corrections is -880 meV/atom. The calculation puts the total energy at -5.006 eV per atom. The calculation puts the density of states at the Fermi level at 4.364 states/eV/f.u. The value obtained for the total magnetization is 0.063 μB per atom.

The space group is Immm (No. 71) and the conventional cell measures 4.0623, 6.2537 and 15.1998 Å, with angles of 90.00, 90.00 and 90.00 degrees. Symmetry generates all atoms from Nd at (0.0000, 0.0000, 0.0000), Nd at (0.0000, 0.0000, 0.3788), Rh at (0.0000, 0.5000, 0.0000) and I at (0.0000, 0.5000, 0.3157).